(1)
Material: Pm2MgCd3
Method: DFT, PBE
State: relaxed

Values from the calculation:
excess energy over the best structure of this formula in the dataset	0.0000	eV/atom
SG	Fmmm (69)

Geometry as CIF:
```
data_Pm2MgCd3
_chemical_formula_sum 'Pm4 Mg2 Cd6'
_symmetry_space_group_name_H-M 'P 1'
_symmetry_Int_Tables_number 1
_cell_length_a 10.233
_cell_length_b 9.483
_cell_length_c 6.139
_cell_angle_alpha 78.66
_cell_angle_beta 65.32
_cell_angle_gamma 36.03
loop_
_symmetry_equiv_pos_as_xyz
'x,y,z'
loop_
_atom_site_label
_atom_site_type_symbol
_atom_site_fract_x
_atom_site_fract_y
_atom_site_fract_z
Pm1 Pm 0.246 0.754 0.754
Pm2 Pm 0.250 0.250 0.250
Pm3 Pm 0.750 0.750 0.750
Pm4 Pm 0.754 0.246 0.246
Mg1 Mg 0.333 0.333 0.667
Mg2 Mg 0.667 0.667 0.333
Cd1 Cd 0.168 0.168 0.832
Cd2 Cd 0.168 0.664 0.336
Cd3 Cd 0.336 0.832 0.168
Cd4 Cd 0.664 0.168 0.832
Cd5 Cd 0.832 0.336 0.664
Cd6 Cd 0.832 0.832 0.168
```



(2)
Material: Pm2Mg3Cd3
Method: DFT, PBE
State: relaxed

Values from the calculation:
SG	R3m (160)

Geometry as CIF:
```
data_Pm2Mg3Cd3
_chemical_formula_sum 'Pm2 Mg3 Cd3'
_symmetry_space_group_name_H-M 'P 1'
_symmetry_Int_Tables_number 1
_cell_length_a 8.975
_cell_length_b 8.975
_cell_length_c 8.975
_cell_angle_alpha 33.49
_cell_angle_beta 33.49
_cell_angle_gamma 33.49
loop_
_symmetry_equiv_pos_as_xyz
'x,y,z'
loop_
_atom_site_label
_atom_site_type_symbol
_atom_site_fract_x
_atom_site_fract_y
_atom_site_fract_z
Pm1 Pm 0.000 0.000 0.000
Pm2 Pm 0.496 0.496 0.496
Mg1 Mg 0.247 0.247 0.247
Mg2 Mg 0.622 0.622 0.622
Mg3 Mg 0.748 0.748 0.748
Cd1 Cd 0.124 0.124 0.124
Cd2 Cd 0.370 0.370 0.370
Cd3 Cd 0.876 0.876 0.876
```



(3)
Material: PmMg2Cd9
Method: DFT, PBE
State: relaxed

Values from the calculation:
SG	I4_1/amd (141)

Geometry as CIF:
```
data_PmMg2Cd9
_chemical_formula_sum 'Pm2 Mg4 Cd18'
_symmetry_space_group_name_H-M 'P 1'
_symmetry_Int_Tables_number 1
_cell_length_a 9.255
_cell_length_b 9.255
_cell_length_c 9.255
_cell_angle_alpha 100.12
_cell_angle_beta 100.12
_cell_angle_gamma 130.43
loop_
_symmetry_equiv_pos_as_xyz
'x,y,z'
loop_
_atom_site_label
_atom_site_type_symbol
_atom_site_fract_x
_atom_site_fract_y
_atom_site_fract_z
Pm1 Pm 0.375 0.625 0.750
Pm2 Pm 0.625 0.375 0.250
Mg1 Mg 0.000 0.000 0.000
Mg2 Mg 0.000 0.000 0.500
Mg3 Mg 0.000 0.500 0.000
Mg4 Mg 0.500 0.000 0.500
Cd1 Cd 0.125 0.552 0.332
Cd2 Cd 0.125 0.793 0.573
Cd3 Cd 0.125 0.875 0.250
Cd4 Cd 0.207 0.280 0.332
Cd5 Cd 0.207 0.875 0.927
Cd6 Cd 0.280 0.207 0.832
Cd7 Cd 0.280 0.448 0.073
Cd8 Cd 0.448 0.280 0.573
Cd9 Cd 0.448 0.875 0.168
Cd10 Cd 0.552 0.125 0.832
Cd11 Cd 0.552 0.720 0.427
Cd12 Cd 0.720 0.552 0.927
Cd13 Cd 0.720 0.793 0.168
Cd14 Cd 0.793 0.125 0.073
Cd15 Cd 0.793 0.720 0.668
Cd16 Cd 0.875 0.125 0.750
Cd17 Cd 0.875 0.207 0.427
Cd18 Cd 0.875 0.448 0.668
```



(4)
Material: PmMg7Cd4
Method: DFT, PBE
State: relaxed

Values from the calculation:
SG	C2/m (12)

Geometry as CIF:
```
data_PmMg7Cd4
_chemical_formula_sum 'Pm1 Mg7 Cd4'
_symmetry_space_group_name_H-M 'P 1'
_symmetry_Int_Tables_number 1
_cell_length_a 6.773
_cell_length_b 6.773
_cell_length_c 10.504
_cell_angle_alpha 121.31
_cell_angle_beta 121.31
_cell_angle_gamma 47.98
loop_
_symmetry_equiv_pos_as_xyz
'x,y,z'
loop_
_atom_site_label
_atom_site_type_symbol
_atom_site_fract_x
_atom_site_fract_y
_atom_site_fract_z
Pm1 Pm 0.000 0.000 0.000
Mg1 Mg 0.060 0.060 0.373
Mg2 Mg 0.220 0.220 0.891
Mg3 Mg 0.335 0.335 0.412
Mg4 Mg 0.500 0.500 0.000
Mg5 Mg 0.665 0.665 0.588
Mg6 Mg 0.780 0.780 0.109
Mg7 Mg 0.940 0.940 0.627
Cd1 Cd 0.299 0.299 0.676
Cd2 Cd 0.425 0.425 0.218
Cd3 Cd 0.575 0.575 0.782
Cd4 Cd 0.701 0.701 0.324
```



(5)
Material: Pm4MgCd2
Method: DFT, PBE
State: relaxed

Values from the calculation:
excess energy over the best structure of this formula in the dataset	0.0599	eV/atom
SG	P2_1/m (11)

Geometry as CIF:
```
data_Pm4MgCd2
_chemical_formula_sum 'Pm8 Mg2 Cd4'
_symmetry_space_group_name_H-M 'P 1'
_symmetry_Int_Tables_number 1
_cell_length_a 7.604
_cell_length_b 6.489
_cell_length_c 9.192
_cell_angle_alpha 90.00
_cell_angle_beta 112.11
_cell_angle_gamma 90.00
loop_
_symmetry_equiv_pos_as_xyz
'x,y,z'
loop_
_atom_site_label
_atom_site_type_symbol
_atom_site_fract_x
_atom_site_fract_y
_atom_site_fract_z
Pm1 Pm 0.037 0.250 0.418
Pm2 Pm 0.111 0.750 0.265
Pm3 Pm 0.397 0.016 0.774
Pm4 Pm 0.397 0.484 0.774
Pm5 Pm 0.603 0.516 0.226
Pm6 Pm 0.603 0.984 0.226
Pm7 Pm 0.889 0.250 0.735
Pm8 Pm 0.963 0.750 0.582
Mg1 Mg 0.205 0.250 0.103
Mg2 Mg 0.795 0.750 0.897
Cd1 Cd 0.206 0.750 0.964
Cd2 Cd 0.470 0.250 0.466
Cd3 Cd 0.530 0.750 0.534
Cd4 Cd 0.794 0.250 0.036
```



(6)
Material: Pm3MgCd4
Method: DFT, PBE
State: relaxed

Values from the calculation:
excess energy over the best structure of this formula in the dataset	0.0000	eV/atom
SG	R-3m (166)

Geometry as CIF:
```
data_Pm3MgCd4
_chemical_formula_sum 'Pm3 Mg1 Cd4'
_symmetry_space_group_name_H-M 'P 1'
_symmetry_Int_Tables_number 1
_cell_length_a 9.347
_cell_length_b 9.347
_cell_length_c 9.347
_cell_angle_alpha 32.78
_cell_angle_beta 32.78
_cell_angle_gamma 32.78
loop_
_symmetry_equiv_pos_as_xyz
'x,y,z'
loop_
_atom_site_label
_atom_site_type_symbol
_atom_site_fract_x
_atom_site_fract_y
_atom_site_fract_z
Pm1 Pm 0.000 0.000 0.000
Pm2 Pm 0.245 0.245 0.245
Pm3 Pm 0.755 0.755 0.755
Mg1 Mg 0.500 0.500 0.500
Cd1 Cd 0.125 0.125 0.125
Cd2 Cd 0.376 0.376 0.376
Cd3 Cd 0.624 0.624 0.624
Cd4 Cd 0.875 0.875 0.875
```



(7)
Material: PmMg7Cd5
Method: DFT, PBE
State: relaxed

Values from the calculation:
SG	Imm2 (44)

Geometry as CIF:
```
data_PmMg7Cd5
_chemical_formula_sum 'Pm1 Mg7 Cd5'
_symmetry_space_group_name_H-M 'P 1'
_symmetry_Int_Tables_number 1
_cell_length_a 7.672
_cell_length_b 7.672
_cell_length_c 7.672
_cell_angle_alpha 134.62
_cell_angle_beta 98.40
_cell_angle_gamma 98.71
loop_
_symmetry_equiv_pos_as_xyz
'x,y,z'
loop_
_atom_site_label
_atom_site_type_symbol
_atom_site_fract_x
_atom_site_fract_y
_atom_site_fract_z
Pm1 Pm 0.000 0.000 0.000
Mg1 Mg 0.208 0.497 0.712
Mg2 Mg 0.215 0.715 0.500
Mg3 Mg 0.350 0.000 0.350
Mg4 Mg 0.351 0.351 0.000
Mg5 Mg 0.650 0.000 0.650
Mg6 Mg 0.651 0.651 0.000
Mg7 Mg 0.785 0.497 0.288
Cd1 Cd 0.493 0.496 0.497
Cd2 Cd 0.493 0.996 0.997
Cd3 Cd 0.791 0.291 0.500
Cd4 Cd 0.999 0.496 0.003
Cd5 Cd 0.999 0.996 0.503
```



(8)
Material: Pm4Mg5Cd2
Method: DFT, PBE
State: relaxed

Values from the calculation:
SG	P2/m (10)

Geometry as CIF:
```
data_Pm4Mg5Cd2
_chemical_formula_sum 'Pm4 Mg5 Cd2'
_symmetry_space_group_name_H-M 'P 1'
_symmetry_Int_Tables_number 1
_cell_length_a 8.219
_cell_length_b 3.439
_cell_length_c 10.793
_cell_angle_alpha 90.00
_cell_angle_beta 94.18
_cell_angle_gamma 90.00
loop_
_symmetry_equiv_pos_as_xyz
'x,y,z'
loop_
_atom_site_label
_atom_site_type_symbol
_atom_site_fract_x
_atom_site_fract_y
_atom_site_fract_z
Pm1 Pm 0.156 0.000 0.385
Pm2 Pm 0.275 0.000 0.947
Pm3 Pm 0.725 0.000 0.053
Pm4 Pm 0.844 0.000 0.615
Mg1 Mg 0.202 0.500 0.667
Mg2 Mg 0.431 0.500 0.210
Mg3 Mg 0.500 0.500 0.500
Mg4 Mg 0.569 0.500 0.790
Mg5 Mg 0.798 0.500 0.333
Cd1 Cd 0.058 0.500 0.137
Cd2 Cd 0.942 0.500 0.863
```



What formation energy from the elements values result from the calculations? In sequence: -1.78; -2.29; -1.54; 0.71; -0.33; -2.41; -1.95; -1.24 eV per formula unit.